Computed, not measured: crystalline Ni2GeS4 at its relaxed geometry at the PBE level of DFT.

DFT total energy in eV per atom: -4.879
Volume in Å³ per atom: 16.17
N(E_F) in states/eV/f.u.: 3.3

a = 6.2552 Å, b = 6.2552 Å, c = 7.2830 Å
α = 115.43°, β = 115.43°, γ = 90.00°
Closest atoms and distances in Å follow each position.
Fractional positions:
1 S 0.7566 0.2944 0.9150  2 Ni 2.17-2.21
2 S 0.0444 0.4084 0.4150  2 Ni 2.17-2.21
3 S 0.7056 0.8416 0.0850  2 Ni 2.17-2.21
4 Ge 0.0000 0.0000 0.0000  4 S 2.50
5 S 0.1584 0.6205 0.9150  2 Ni 2.17-2.21
6 S 0.3795 0.2434 0.0850  2 Ni 2.17-2.21
7 S 0.3705 0.0066 0.4150  2 Ni 2.17-2.21
8 Ni 0.3750 0.6250 0.7500  4 S 2.17-2.21
9 Ni 0.3750 0.6250 0.2500  4 S 2.17-2.21
10 Ge 0.7500 0.2500 0.5000  4 S 2.50
11 S 0.5916 0.6295 0.5850  2 Ni 2.17-2.21
12 S 0.9934 0.9556 0.5850  2 Ni 2.17-2.21
13 Ni 0.8750 0.6250 0.2500  4 S 2.17-2.21
14 Ni 0.3750 0.1250 0.7500  4 S 2.17-2.21